First-principles (PBE+U) data for a relaxed structure of Co2Pt3O8, as listed in Alexandria.

Calculated values
M_tot, μB/cell: 6.0
Calculated total energy, eV/cell: -76.38

a = 5.6918 Å, b = 5.6918 Å, c = 5.3622 Å
α = 98.18°, β = 98.18°, γ = 65.32°
Last column: nearest neighbours and their distance in Å.
Positions (direct):
Co (0.2000, 0.2000, 0.0751)  3 O 1.94-2.11
Co (0.8000, 0.8000, 0.9249)  3 O 1.94-2.11
Pt (0.2486, 0.7514, 0.5000)  6 O 2.02-2.07
Pt (0.5000, 0.5000, 0.0000)  6 O 2.03-2.07
Pt (0.7514, 0.2486, 0.5000)  6 O 2.02-2.07
O (0.1031, 0.1031, 0.3648)  1 Co 1.94, 2 Pt 2.02
O (0.1482, 0.6038, 0.1452)  2 Pt 2.07, 2 Co 2.11-2.17
O (0.3951, 0.3951, 0.6382)  3 Pt 2.03-2.05
O (0.3962, 0.8518, 0.8548)  2 Pt 2.07, 2 Co 2.11-2.17
O (0.6038, 0.1482, 0.1452)  2 Pt 2.07, 2 Co 2.11-2.17
O (0.6049, 0.6049, 0.3618)  3 Pt 2.03-2.05
O (0.8518, 0.3962, 0.8548)  2 Pt 2.07, 2 Co 2.11-2.17
O (0.8969, 0.8969, 0.6352)  1 Co 1.94, 2 Pt 2.02